Entry 1:
The following is a DFT calculation (GGA-PBE) of crystalline Tm12Th7Sc at its relaxed geometry.

```
20
Lattice="9.115 -0.092 -0.138 -2.623 8.730 -0.138 -2.623 -3.490 8.003" Properties=species:S:1:pos:R:3 pbc="T T T"
Tm 4.605 0.618 4.736
Tm 4.555 2.547 1.661
Tm 2.703 -0.579 2.282
Tm 5.177 3.979 4.599
Tm 1.180 -0.425 5.331
Tm 2.383 1.903 7.381
Tm 1.486 3.244 0.345
Tm 2.689 5.572 2.395
Tm -1.308 1.168 3.127
Tm 1.166 5.727 5.444
Tm -0.686 2.601 6.065
Tm -0.736 4.529 2.990
Th -3.367 2.450 7.812
Th 0.579 -3.045 7.073
Th -3.086 6.639 2.457
Th 1.934 2.574 3.863
Th 6.955 -1.492 5.269
Th 3.289 8.192 0.653
Th 7.236 2.698 -0.085
Sc 0.000 0.000 0.000
```

***

Entry 2:
4
Lattice="3.408 -0.061 -0.564 -1.700 3.005 -0.037 -1.626 1.168 11.128" Properties=species:S:1:pos:R:3 comment="TmThSc2 GGA-PBE relaxed" polymorph_energy_mev_per_atom=0 pbc="T T T"
Tm 1.653 1.809 -0.137
Th -0.866 2.423 5.706
Sc 1.278 1.672 8.138
Sc 0.401 3.114 2.711

***

Entry 3:
16
Lattice="-1.502 -6.440 -2.311 10.829 -2.419 -0.297 -0.271 -1.879 5.412" Properties=species:S:1:pos:R:3 comment="TmThSc2 GGA-PBE relaxed" polymorph_energy_mev_per_atom=65 pbc="T T T"
Tm 6.462 -2.550 1.437
Tm 3.137 -5.859 2.203
Tm 8.509 -7.365 2.908
Tm 1.090 -1.044 0.733
Th 5.390 -8.348 2.392
Th 8.835 -4.760 0.771
Th 0.017 -6.854 1.719
Th 3.461 -3.266 0.098
Sc 0.353 -4.268 -0.383
Sc 5.728 -5.748 0.250
Sc 9.251 -4.117 4.032
Sc 3.876 -2.637 3.399
Sc 2.760 -6.492 -1.083
Sc 6.090 -5.129 3.571
Sc 0.719 -3.618 2.851
Sc 8.131 -8.003 -0.363

***

ΔE_f for every record listed, in sequence, given in kJ per mole of atoms: 17.2 0.8 7.1.